A plane-wave DFT calculation with PBE was carried out for LiLuNbTc after structural relaxation.

calculated total energy: -6.728 eV/atom
energy of formation: -0.04 eV/f.u.
space group: F-43m, No. 216

Unit cell a=4.6413 b=4.6413 c=4.6413 alpha=60.00 beta=60.00 gamma=60.00
Atoms (fractional coordinates):
Lu 0.5000 0.5000 0.5000
Li 0.2500 0.2500 0.2500
Tc 0.7500 0.7500 0.7500
Nb 0.0000 0.0000 0.0000